CePmErSc: relaxed, PBE.

## Properties
The volume is 486 Å³/cell. For the total energy, the calculation gives -5.205 eV/atom. For the formation energy, the calculation gives 0.19 eV per atom.

a = 7.8617 Å, b = 7.8617 Å, c = 7.8617 Å
α = 90.00°, β = 90.00°, γ = 90.00°
Last column: nearest neighbours and their distance in Å.
Space group F-43m (No. 216)
Asymmetric unit:
Ce 0.0000 0.0000 0.0000 (multiplicity 4)  4 Pm 3.40, 4 Sc 3.40
Pm 0.2500 0.2500 0.7500 (multiplicity 4)  4 Er 3.40, 4 Ce 3.40
Er 0.0000 0.0000 0.5000 (multiplicity 4)  4 Sc 3.40, 4 Pm 3.40
Sc 0.2500 0.2500 0.2500 (multiplicity 4)  4 Ce 3.40, 4 Er 3.40